Entry 1:
BeFeTcSb | OQMD via LeMat-Bulk | PBE | optimized geometry; theoretical density = 8.75 g/cm3; total magnetic moment = 1.11 μB/f.u.; offset from the most stable computed form = 0 meV per atom
1.0
0.0000 3.0005 3.0005
3.0005 0.0000 3.0005
3.0005 3.0005 0.0000
Be Fe Tc Sb
1 1 1 1
Cartesian
0.0000 0.0000 0.0000 Be
4.5008 4.5008 4.5008 Fe
1.5003 1.5003 1.5003 Tc
3.0005 3.0005 3.0005 Sb

---

Entry 2:
NaTcPO | OQMD via LeMat-Bulk | PBE | optimized geometry; theoretical density = 5.23 g/cm3; total magnetic moment = 0.45 μB/f.u.; offset from the most stable computed form = 667 meV per atom
1.0
3.4100 0.0000 0.0000
0.0000 3.4100 0.0000
0.0000 0.0000 9.1669
Na Tc P O
2 2 2 2
Cartesian
0.8525 2.5575 0.0000 Na
2.5575 0.8525 0.0000 Na
0.8525 0.8525 3.2974 Tc
2.5575 2.5575 5.8695 Tc
0.8525 0.8525 6.9975 P
2.5575 2.5575 2.1694 P
0.8525 2.5575 4.5835 O
2.5575 0.8525 4.5835 O

---

Entry 3:
Li4TlGaPt2 | OQMD via LeMat-Bulk | PBE | optimized geometry; theoretical density = 9.42 g/cm3; energy = -29.5 eV per formula unit; total magnetic moment = 0.04 μB/f.u.
1.0
4.3789 0.0000 0.0000
0.0000 4.3789 0.0000
0.0000 0.0000 6.3649
Li Tl Ga Pt
4 1 1 2
Cartesian
0.0000 0.0000 0.0000 Li
0.0000 2.1894 4.6466 Li
2.1894 0.0000 1.7183 Li
2.1894 2.1894 3.1825 Li
2.1894 2.1894 0.0000 Tl
0.0000 0.0000 3.1825 Ga
0.0000 2.1894 1.7983 Pt
2.1894 0.0000 4.5666 Pt

---

Entry 4:
ZnAu124 | OQMD via LeMat-Bulk | PBE | optimized geometry; theoretical density = 17.96 g/cm3; energy = -407.7 eV per formula unit
1.0
0.0000 10.4221 10.4221
10.4221 0.0000 10.4221
10.4221 10.4221 0.0000
Zn Au
1 124
Cartesian
0.0000 0.0000 0.0000 Zn
2.0559 2.0559 0.0000 Au
4.1646 4.1646 0.0000 Au
6.2576 6.2576 0.0000 Au
8.3663 8.3663 0.0000 Au
2.0559 0.0000 2.0559 Au
10.4221 8.3663 2.0559 Au
4.1618 2.0821 2.0821 Au
6.2528 14.5914 12.5057 Au
8.3400 6.2603 2.0821 Au
12.5042 18.7621 14.5839 Au
4.1646 0.0000 4.1646 Au
6.2528 12.5057 14.5914 Au
8.3386 14.5914 14.5914 Au
10.4221 6.2576 4.1646 Au
6.2576 0.0000 6.2576 Au
10.4221 4.1646 6.2576 Au
12.5057 6.2528 6.2528 Au
14.5914 8.3386 6.2528 Au
8.3400 2.0821 6.2603 Au
12.5042 14.5839 18.7621 Au
14.5914 6.2528 8.3386 Au
16.6825 18.7621 18.7621 Au
8.3663 0.0000 8.3663 Au
10.4221 2.0559 8.3663 Au
0.0000 2.0559 2.0559 Au
8.3663 10.4221 2.0559 Au
8.3663 2.0559 10.4221 Au
2.0821 4.1618 2.0821 Au
14.5914 6.2528 12.5057 Au
6.2603 8.3400 2.0821 Au
2.0821 2.0821 4.1618 Au
4.1687 4.1687 4.1687 Au
6.2534 6.2534 4.1687 Au
8.3400 8.3400 4.1618 Au
10.4221 10.4221 4.1723 Au
14.5914 12.5057 6.2528 Au
6.2534 4.1687 6.2534 Au
8.3386 6.2528 6.2528 Au
10.4221 8.3367 6.2514 Au
12.5075 10.4221 6.2514 Au
10.4221 6.2514 8.3367 Au
12.5068 8.3374 8.3374 Au
14.5929 10.4221 8.3367 Au
6.2603 2.0821 8.3400 Au
8.3400 4.1618 8.3400 Au
10.4221 4.1723 10.4221 Au
12.5075 6.2514 10.4221 Au
14.5929 8.3367 10.4221 Au
16.6719 10.4221 10.4221 Au
18.7621 12.5042 14.5839 Au
18.7621 14.5839 12.5042 Au
16.6825 12.5042 12.5042 Au
0.0000 4.1646 4.1646 Au
12.5057 6.2528 14.5914 Au
14.5914 8.3386 14.5914 Au
6.2576 10.4221 4.1646 Au
12.5057 14.5914 6.2528 Au
4.1687 6.2534 6.2534 Au
6.2528 8.3386 6.2528 Au
8.3367 10.4221 6.2514 Au
10.4221 12.5075 6.2514 Au
14.5914 14.5914 8.3386 Au
6.2528 6.2528 8.3386 Au
8.3374 8.3374 8.3374 Au
10.4221 10.4221 8.3371 Au
12.5068 12.5068 8.3374 Au
6.2576 4.1646 10.4221 Au
8.3367 6.2514 10.4221 Au
10.4221 8.3371 10.4221 Au
12.5072 10.4221 10.4221 Au
14.5929 12.5075 10.4221 Au
10.4221 6.2514 12.5075 Au
12.5068 8.3374 12.5068 Au
14.5929 10.4221 12.5075 Au
0.0000 6.2576 6.2576 Au
4.1646 10.4221 6.2576 Au
6.2528 12.5057 6.2528 Au
8.3386 14.5914 6.2528 Au
6.2514 10.4221 8.3367 Au
8.3374 12.5068 8.3374 Au
10.4221 14.5929 8.3367 Au
4.1646 6.2576 10.4221 Au
6.2514 8.3367 10.4221 Au
8.3371 10.4221 10.4221 Au
10.4221 12.5072 10.4221 Au
12.5075 14.5929 10.4221 Au
6.2528 6.2528 12.5057 Au
8.3374 8.3374 12.5068 Au
10.4221 10.4221 12.5072 Au
12.5068 12.5068 12.5068 Au
14.5914 14.5914 12.5057 Au
8.3386 6.2528 14.5914 Au
10.4221 8.3367 14.5929 Au
12.5075 10.4221 14.5929 Au
14.5914 12.5057 14.5914 Au
16.6756 14.5908 14.5908 Au
2.0821 8.3400 6.2603 Au
2.0821 6.2603 8.3400 Au
4.1618 8.3400 8.3400 Au
14.5839 12.5042 18.7621 Au
6.2528 14.5914 8.3386 Au
18.7621 16.6825 18.7621 Au
4.1723 10.4221 10.4221 Au
6.2514 12.5075 10.4221 Au
8.3367 14.5929 10.4221 Au
10.4221 16.6719 10.4221 Au
14.5839 18.7621 12.5042 Au
12.5042 16.6825 12.5042 Au
6.2514 10.4221 12.5075 Au
8.3374 12.5068 12.5068 Au
10.4221 14.5929 12.5075 Au
6.2528 8.3386 14.5914 Au
8.3367 10.4221 14.5929 Au
10.4221 12.5075 14.5929 Au
12.5057 14.5914 14.5914 Au
14.5908 16.6756 14.5908 Au
18.7621 18.7621 16.6825 Au
10.4221 10.4221 16.6719 Au
12.5042 12.5042 16.6825 Au
14.5908 14.5908 16.6756 Au
16.6756 16.6756 16.6756 Au
0.0000 8.3663 8.3663 Au
2.0559 10.4221 8.3663 Au
2.0559 8.3663 10.4221 Au

---

Entry 5:
LaThGe | OQMD via LeMat-Bulk | PBE | optimized geometry; theoretical density = 8.02 g/cm3; energy = -15.9 eV per formula unit; total magnetic moment = 0.00 μB/f.u.
1.0
0.0000 3.5817 3.5817
3.5817 0.0000 3.5817
3.5817 3.5817 0.0000
La Th Ge
1 1 1
Cartesian
0.0000 0.0000 0.0000 La
5.3725 5.3725 5.3725 Th
3.5817 3.5817 3.5817 Ge

---

Entry 6:
Zr2NbTc | OQMD via LeMat-Bulk | PBE | optimized geometry; theoretical density = 8.28 g/cm3; energy = -37.7 eV per formula unit; total magnetic moment = 0.04 μB/f.u.
1.0
0.0000 3.3456 3.3456
3.3456 0.0000 3.3456
3.3456 3.3456 0.0000
Zr Nb Tc
2 1 1
Cartesian
0.0000 0.0000 0.0000 Zr
1.6728 1.6728 1.6728 Zr
5.0184 5.0184 5.0184 Nb
3.3456 3.3456 3.3456 Tc

---

Record-wise calculated volume values, in Å³/cell: 54.0; 106.6; 122.0; 2264.1; 91.9; 74.9